VASP calculation (PBE-GGA) on NpMnAu2 after structural relaxation.

Unit cell a=6.9434 b=6.9434 c=6.9434 alpha=90.00 beta=90.00 gamma=90.00
Space group Fm-3m (No. 225)
Inequivalent atoms, fractional coordinates:
Np: 0.0000 0.0000 0.0000 (multiplicity 4)
Mn: 0.0000 0.0000 0.5000 (multiplicity 4)
Au: 0.2500 0.2500 0.2500 (multiplicity 8)

Calculated values
Fermi-level density of states   55.7 states/eV/cell
V   334.7 Å³ per cell
Magnetic moment   2.107 μB per atom
Crystal system   cubic
Electronic total energy   -113.0 eV for the cell shown